A geometry-optimized Ba2NF structure. Source: the Alexandria database, functional PBE-GGA.

```
Ba2NF
1.0
2.020 1.166 6.771
-2.020 1.166 6.771
0.000 -2.333 6.771
Ba N F
2 1 1
Cartesian
0.000 0.000 4.900
0.000 0.000 15.412
0.000 0.000 10.156
0.000 0.000 0.000
```

Values from the calculation:
Formation energy from raw total energies (eV per atom): -1.712
VASP energy (eV per atom): -5.222